No. 1
The following is a DFT calculation (PBE-GGA) of a geometry-optimized Nd4Y2Th structure.

Values from the calculation:
* formation energy: 3.7 kJ/mol of atoms
* E above lowest polymorph: 0.000 eV/f.u.
* spin magnetization: 0.001 μB/f.u.
* uncorrected energy: -5.593 eV per atom
* N(E_F): 1.596 states/eV/atom

Unit cell a=3.649 b=3.645 c=20.826 alpha=95.06 beta=90.00 gamma=120.03
Atoms (fractional coordinates):
Th: 0.812 0.624 0.666
Nd: 0.999 0.997 0.238
Nd: 0.524 0.047 0.807
Nd: 0.911 0.821 0.957
Nd: 0.428 0.855 0.523
Y: 0.711 0.422 0.380
Y: 0.618 0.236 0.097



No. 2
The following is a DFT calculation (PBE-GGA) of a geometry-optimized Sc2TaCo structure.

Values from the calculation:
* formation energy: 13.7 kJ/mol of atoms
* E above lowest polymorph: 0.891 eV/f.u.
* spin magnetization: 0.358 μB/f.u.
* uncorrected energy: -7.764 eV per atom
* N(E_F): 1.431 states/eV/atom

Unit cell a=9.042 b=9.042 c=9.042 alpha=19.58 beta=19.58 gamma=19.58
Site moments in Bohr magnetons follow the coordinates.
Atoms (fractional coordinates):
Ta: 0.250 0.250 0.250  0.00
Sc: 0.488 0.488 0.488  -0.05
Sc: 0.012 0.012 0.012  -0.05
Co: 0.750 0.750 0.750  0.50



No. 3
The following is a DFT calculation (PBE-GGA) of a geometry-optimized MgTcP2 structure.

Values from the calculation:
* formation energy: 8.7 kJ/mol of atoms
* spin magnetization: 0.000 μB/f.u.
* uncorrected energy: -5.605 eV per atom
* N(E_F): 0.440 states/eV/atom

Unit cell a=3.333 b=4.716 c=3.744 alpha=90.00 beta=90.00 gamma=90.00
Atoms (fractional coordinates):
P: 0.500 0.500 0.000
P: 0.000 0.000 0.000
Mg: 0.000 0.500 0.500
Tc: 0.500 0.000 0.500



No. 4
The following is a DFT calculation (PBE-GGA) of a geometry-optimized ZrCd2Au8 structure.

Values from the calculation:
* formation energy: -12.7 kJ/mol of atoms
* spin magnetization: 0.000 μB/f.u.
* uncorrected energy: -3.459 eV per atom
* N(E_F): 0.395 states/eV/atom

Unit cell a=4.041 b=7.643 c=7.643 alpha=109.27 beta=90.11 gamma=90.11
Atoms (fractional coordinates):
Au: 0.001 0.297 0.045
Au: 0.999 0.955 0.703
Au: 0.001 0.045 0.297
Au: 0.500 0.329 0.329
Au: 0.500 0.671 0.671
Au: 0.999 0.703 0.955
Au: 0.500 0.230 0.770
Au: 0.500 0.770 0.230
Cd: 0.000 0.379 0.621
Cd: 0.000 0.621 0.379
Zr: 0.500 0.000 0.000



No. 5
The following is a DFT calculation (PBE-GGA) of a geometry-optimized HfAl2Si structure.

Values from the calculation:
* uncorrected formation energy: 0.007 eV/atom
* spin magnetization: 0.000 μB/f.u.
* uncorrected energy: -5.709 eV per atom
* N(E_F): 0.609 states/eV/atom

Unit cell a=7.445 b=7.445 c=5.903 alpha=50.90 beta=50.90 gamma=90.00
Atoms (fractional coordinates):
Al: 0.170 0.625 0.250
Al: 0.580 0.125 0.250
Al: 0.375 0.420 0.750
Al: 0.875 0.830 0.750
Si: 0.250 0.750 0.500
Si: 0.500 0.500 0.000
Hf: 0.000 0.000 0.000
Hf: 0.750 0.250 0.500



No. 6
The following is a DFT calculation (PBE-GGA) of a geometry-optimized SrMn2Co structure.

Values from the calculation:
* formation energy: 130.8 kJ/mol of atoms
* E above lowest polymorph: 4.210 eV/f.u.
* spin magnetization: 0.305 μB/f.u.
* uncorrected energy: -5.426 eV per atom
* N(E_F): 3.383 states/eV/atom

Unit cell a=4.408 b=4.408 c=4.408 alpha=60.00 beta=60.00 gamma=60.00
Site moments in Bohr magnetons follow the coordinates.
Atoms (fractional coordinates):
Mn: 0.750 0.750 0.750  -0.52
Mn: 0.250 0.250 0.250  -0.52
Co: 0.000 0.000 0.000  1.43
Sr: 0.500 0.500 0.500  -0.02



No. 7
The following is a DFT calculation (PBE-GGA) of a geometry-optimized MnCrRu2 structure.

Values from the calculation:
* formation energy: 10.4 kJ/mol of atoms
* spin magnetization: 1.019 μB/f.u.
* uncorrected energy: -9.228 eV per atom
* N(E_F): 1.330 states/eV/atom

Unit cell a=3.621 b=2.665 c=5.972 alpha=63.58 beta=90.00 gamma=90.00
Site moments in Bohr magnetons follow the coordinates.
Atoms (fractional coordinates):
Ru: 0.000 0.999 0.001  -0.11
Ru: 0.000 0.501 0.499  -0.11
Mn: 0.500 0.750 0.750  1.78
Cr: 0.500 0.250 0.250  -0.54



No. 8
The following is a DFT calculation (PBE-GGA) of a geometry-optimized Tb2PmAg3Se6 structure.

Values from the calculation:
* uncorrected formation energy: -1.184 eV/atom
* spin magnetization: 0.000 μB/f.u.
* uncorrected energy: -4.807 eV per atom
* N(E_F): 0.000 states/eV/atom

Unit cell a=4.252 b=9.862 c=8.395 alpha=104.64 beta=104.67 gamma=90.00
Atoms (fractional coordinates):
Ag: 0.500 0.500 0.000
Ag: 0.827 0.042 0.654
Ag: 0.173 0.958 0.346
Se: 0.986 0.203 0.972
Se: 0.342 0.470 0.684
Se: 0.658 0.530 0.316
Se: 0.688 0.145 0.375
Se: 0.014 0.797 0.028
Se: 0.312 0.855 0.625
Tb: 0.837 0.662 0.675
Tb: 0.163 0.338 0.325
Pm: 0.500 0.000 0.000



No. 9
The following is a DFT calculation (PBE-GGA) of a geometry-optimized LaTaAl structure.

Values from the calculation:
* formation energy: 54.8 kJ/mol of atoms
* E above lowest polymorph: 1.995 eV/f.u.
* spin magnetization: 0.000 μB/f.u.
* uncorrected energy: -6.273 eV per atom
* N(E_F): 0.794 states/eV/atom

Unit cell a=4.768 b=4.768 c=4.768 alpha=60.00 beta=60.00 gamma=60.00
Atoms (fractional coordinates):
Al: 0.250 0.250 0.250
Ta: 0.500 0.500 0.500
La: 0.000 0.000 0.000



No. 10
The following is a DFT calculation (PBE-GGA) of a geometry-optimized YPbAu structure.

Values from the calculation:
* formation energy: -49.9 kJ/mol of atoms
* spin magnetization: 0.000 μB/f.u.
* uncorrected energy: -5.000 eV per atom
* N(E_F): 0.543 states/eV/atom

Unit cell a=6.419 b=6.419 c=6.419 alpha=147.23 beta=147.24 gamma=47.01
Atoms (fractional coordinates):
Y: 0.357 0.357 0.000
Pb: 0.656 0.656 0.000
Au: 0.987 0.987 0.000



No. 11
The following is a DFT calculation (PBE-GGA) of a geometry-optimized Ac3O structure.

Values from the calculation:
* E above lowest polymorph: 0.866 eV/f.u.
* uncorrected formation energy: -0.947 eV/atom
* spin magnetization: 0.000 μB/f.u.
* uncorrected energy: -5.268 eV per atom
* N(E_F): 1.106 states/eV/atom

Unit cell a=3.679 b=6.529 c=6.813 alpha=118.63 beta=105.66 gamma=90.00
Atoms (fractional coordinates):
Ac: 0.668 0.034 0.336
Ac: 0.500 0.344 0.000
Ac: 0.332 0.698 0.664
O: 0.000 0.090 0.000



No. 12
The following is a DFT calculation (PBE-GGA) of a geometry-optimized Ce2PuUN4 structure.

Values from the calculation:
* uncorrected formation energy: -1.422 eV/atom
* spin magnetization: 5.789 μB/f.u.
* uncorrected energy: -10.271 eV per atom
* N(E_F): 1.331 states/eV/atom

Unit cell a=3.509 b=6.047 c=6.102 alpha=109.29 beta=90.00 gamma=90.00
Site moments in Bohr magnetons follow the coordinates.
Atoms (fractional coordinates):
N: 0.500 0.742 0.773  -0.09
N: 0.000 0.727 0.222  -0.05
N: 0.000 0.273 0.778  -0.05
N: 0.500 0.258 0.227  -0.09
U: 0.500 0.500 0.000  0.44
Pu: 0.000 0.000 0.000  4.67
Ce: 0.000 0.500 0.500  0.19
Ce: 0.500 0.000 0.500  0.41



No. 13
The following is a DFT calculation (PBE-GGA) of a geometry-optimized Mg3PPt structure.

Values from the calculation:
* formation energy: -3.2 kJ/mol of atoms
* E above lowest polymorph: 0.350 eV/f.u.
* spin magnetization: 0.000 μB/f.u.
* uncorrected energy: -3.281 eV per atom
* N(E_F): 0.550 states/eV/atom

Unit cell a=4.914 b=4.914 c=4.914 alpha=90.00 beta=90.00 gamma=90.00
Atoms (fractional coordinates):
Mg: 0.000 0.000 0.500
Mg: 0.500 0.000 0.000
Mg: 0.000 0.500 0.000
Pt: 0.000 0.000 0.000
P: 0.500 0.500 0.500



No. 14
The following is a DFT calculation (PBE-GGA) of a geometry-optimized Zr2CuCO structure.

Values from the calculation:
* uncorrected formation energy: 0.199 eV/atom
* spin magnetization: 0.000 μB/f.u.
* uncorrected energy: -6.876 eV per atom
* N(E_F): 0.753 states/eV/atom

Unit cell a=4.556 b=3.611 c=4.556 alpha=90.00 beta=90.00 gamma=90.00
Atoms (fractional coordinates):
Zr: 0.500 0.000 0.000
Zr: 0.000 0.000 0.500
Cu: 0.500 0.500 0.500
C: 0.000 0.000 0.000
O: 0.000 0.500 0.000



No. 15
The following is a DFT calculation (PBE-GGA) of a geometry-optimized ReAu2O structure.

Values from the calculation:
* uncorrected formation energy: 0.871 eV/atom
* spin magnetization: 2.958 μB/f.u.
* uncorrected energy: -5.120 eV per atom
* N(E_F): 0.228 states/eV/atom

Unit cell a=7.082 b=7.082 c=5.610 alpha=50.86 beta=50.86 gamma=90.00
Site moments in Bohr magnetons follow the coordinates.
Atoms (fractional coordinates):
Re: 0.000 0.000 0.000  2.33
Re: 0.750 0.250 0.500  2.32
O: 0.500 0.500 0.000  0.11
O: 0.250 0.750 0.500  0.11
Au: 0.375 0.411 0.750  0.12
Au: 0.875 0.839 0.750  0.12
Au: 0.161 0.625 0.250  0.12
Au: 0.589 0.125 0.250  0.12



No. 16
The following is a DFT calculation (PBE-GGA) of a geometry-optimized BeOs2Rh2 structure.

Values from the calculation:
* formation energy: 59.8 kJ/mol of atoms
* E above lowest polymorph: 0.000 eV/f.u.
* spin magnetization: 0.000 μB/f.u.
* uncorrected energy: -7.558 eV per atom
* N(E_F): 0.774 states/eV/atom

Unit cell a=3.498 b=3.498 c=6.892 alpha=75.30 beta=75.30 gamma=90.00
Atoms (fractional coordinates):
Be: 0.000 0.000 0.000
Os: 0.750 0.250 0.500
Os: 0.250 0.750 0.500
Rh: 0.404 0.404 0.193
Rh: 0.596 0.596 0.807



No. 17
The following is a DFT calculation (PBE-GGA) of a geometry-optimized GdInSnHg structure.

Values from the calculation:
* formation energy: -27.7 kJ/mol of atoms
* spin magnetization: 7.178 μB/f.u.
* uncorrected energy: -5.568 eV per atom
* N(E_F): 0.775 states/eV/atom

Unit cell a=5.306 b=5.306 c=5.306 alpha=60.00 beta=60.00 gamma=60.00
Site moments in Bohr magnetons follow the coordinates.
Atoms (fractional coordinates):
Gd: 0.000 0.000 0.000  -6.99
Sn: 0.250 0.250 0.250  -0.02
Hg: 0.750 0.750 0.750  -0.01
In: 0.500 0.500 0.500  -0.01



No. 18
The following is a DFT calculation (PBE-GGA) of a geometry-optimized ScMnNbGa structure.

Values from the calculation:
* formation energy: -16.7 kJ/mol of atoms
* spin magnetization: 0.072 μB/f.u.
* uncorrected energy: -7.322 eV per atom
* N(E_F): 0.458 states/eV/atom

Unit cell a=4.506 b=4.506 c=4.506 alpha=60.00 beta=60.00 gamma=60.00
Site moments in Bohr magnetons follow the coordinates.
Atoms (fractional coordinates):
Nb: 0.750 0.750 0.750  -0.26
Sc: 0.250 0.250 0.250  -0.07
Ga: 0.500 0.500 0.500  -0.01
Mn: 0.000 0.000 0.000  0.46



No. 19
The following is a DFT calculation (PBE-GGA) of a geometry-optimized SrSe5 structure.

Values from the calculation:
* uncorrected formation energy: -0.148 eV/atom
* spin magnetization: 0.000 μB/f.u.
* uncorrected energy: -3.332 eV per atom
* N(E_F): 0.829 states/eV/atom

Unit cell a=6.011 b=6.011 c=4.793 alpha=90.00 beta=90.00 gamma=120.00
Atoms (fractional coordinates):
Se: 0.667 0.333 0.000
Se: 0.000 0.500 0.500
Se: 0.500 0.500 0.500
Se: 0.500 0.000 0.500
Se: 0.333 0.667 0.000
Sr: 0.000 0.000 0.000



No. 20
The following is a DFT calculation (PBE-GGA) of a geometry-optimized La3DyGe2 structure.

Values from the calculation:
* formation energy: -59.9 kJ/mol of atoms
* spin magnetization: 0.535 μB/f.u.
* uncorrected energy: -5.390 eV per atom
* N(E_F): 1.068 states/eV/atom

Unit cell a=4.504 b=4.691 c=8.982 alpha=105.11 beta=104.54 gamma=89.99
Site moments in Bohr magnetons follow the coordinates.
Atoms (fractional coordinates):
La: 0.500 0.500 0.000  0.01
La: 0.818 0.319 0.636  0.10
La: 0.182 0.681 0.364  0.10
Ge: 0.369 0.870 0.739  -0.01
Ge: 0.631 0.130 0.261  -0.01
Dy: 0.000 0.000 0.000  0.00